[1]
# Zn2Cu2Ru (GGA-PBE, relaxed)
# space-group type	No. 139
# magnetic moment	0.2092	μB per atom
# density of states at the Fermi level	3.50	states/eV/f.u.
# energy above the lowest structure with this stoichiometry	0.3076	eV per atom
# energy	-3.587	eV/atom
data_Zn2Cu2Ru
_cell_length_a 6.098
_cell_length_b 6.098
_cell_length_c 6.098
_cell_angle_alpha 145.92
_cell_angle_beta 145.92
_cell_angle_gamma 48.96
_space_group_name_H-M_alt 'P 1'
_space_group_IT_number 1
_space_group_name_Hall 'P 1'
loop_
_atom_site_label
_atom_site_fract_x
_atom_site_fract_y
_atom_site_fract_z
_atom_site_occupancy
Zn1 0.250 0.750 0.500 1
Zn2 0.750 0.250 0.500 1
Cu1 0.101 0.101 0.000 1
Cu2 0.899 0.899 0.000 1
Ru1 0.500 0.500 0.000 1



[2]
# NaTm3Sc2Se6 (GGA-PBE, relaxed)
# space-group type	No. 12
# magnetic moment	0.0000	μB per atom
# formation energy from raw total energies	-1.6424	eV per atom
# density of states at the Fermi level	4.52	states/eV/f.u.
# energy	-5.668	eV/atom
data_NaTm3Sc2Se6
_cell_length_a 8.916
_cell_length_b 8.916
_cell_length_c 8.011
_cell_angle_alpha 102.74
_cell_angle_beta 102.74
_cell_angle_gamma 25.80
_space_group_name_H-M_alt 'P 1'
_space_group_IT_number 1
_space_group_name_Hall 'P 1'
loop_
_atom_site_label
_atom_site_fract_x
_atom_site_fract_y
_atom_site_fract_z
_atom_site_occupancy
Na1 0.000 0.000 0.000 1
Tm1 0.000 0.000 0.500 1
Tm2 0.336 0.336 0.173 1
Tm3 0.664 0.664 0.827 1
Sc1 0.329 0.329 0.651 1
Sc2 0.671 0.671 0.349 1
Se1 0.167 0.167 0.581 1
Se2 0.169 0.169 0.091 1
Se3 0.495 0.495 0.745 1
Se4 0.505 0.505 0.255 1
Se5 0.831 0.831 0.909 1
Se6 0.833 0.833 0.419 1



[3]
# Zr2CdCo (GGA-PBE, relaxed)
# space-group type	No. 99
# magnetic moment	0.0001	μB per atom
# density of states at the Fermi level	3.17	states/eV/f.u.
# energy	-6.362	eV/atom
data_Zr2CdCo
_cell_length_a 3.233
_cell_length_b 3.233
_cell_length_c 7.324
_cell_angle_alpha 90.00
_cell_angle_beta 90.00
_cell_angle_gamma 90.00
_space_group_name_H-M_alt 'P 1'
_space_group_IT_number 1
_space_group_name_Hall 'P 1'
loop_
_atom_site_label
_atom_site_fract_x
_atom_site_fract_y
_atom_site_fract_z
_atom_site_occupancy
Zr1 0.000 0.000 0.000 1
Zr2 0.500 0.500 0.290 1
Cd1 0.000 0.000 0.585 1
Co1 0.500 0.500 0.817 1



[4]
# CaAu (GGA-PBE, relaxed)
# space-group type	No. 227
# magnetic moment	0.0000	μB per atom
# density of states at the Fermi level	1.92	states/eV/f.u.
# energy	-3.134	eV/atom
data_CaAu
_cell_length_a 5.043
_cell_length_b 5.043
_cell_length_c 5.043
_cell_angle_alpha 60.00
_cell_angle_beta 60.00
_cell_angle_gamma 60.00
_space_group_name_H-M_alt 'P 1'
_space_group_IT_number 1
_space_group_name_Hall 'P 1'
loop_
_atom_site_label
_atom_site_fract_x
_atom_site_fract_y
_atom_site_fract_z
_atom_site_occupancy
Ca1 0.125 0.125 0.125 1
Ca2 0.875 0.875 0.875 1
Au1 0.375 0.375 0.375 1
Au2 0.625 0.625 0.625 1



[5]
# Al2CoSiTe (GGA-PBE, relaxed)
# space-group type	No. 123
# magnetic moment	0.0000	μB per atom
# formation energy from raw total energies	0.3962	eV per atom
# density of states at the Fermi level	4.00	states/eV/f.u.
# energy	-4.235	eV/atom
data_Al2CoSiTe
_cell_length_a 4.475
_cell_length_b 4.475
_cell_length_c 5.033
_cell_angle_alpha 90.00
_cell_angle_beta 90.00
_cell_angle_gamma 90.00
_space_group_name_H-M_alt 'P 1'
_space_group_IT_number 1
_space_group_name_Hall 'P 1'
loop_
_atom_site_label
_atom_site_fract_x
_atom_site_fract_y
_atom_site_fract_z
_atom_site_occupancy
Al1 0.000 0.500 0.000 1
Al2 0.500 0.000 0.000 1
Co1 0.000 0.000 0.000 1
Si1 0.500 0.500 0.500 1
Te1 0.000 0.000 0.500 1



[6]
# HfVGe (GGA-PBE, relaxed)
# space-group type	No. 12
# magnetic moment	0.0000	μB per atom
# density of states at the Fermi level	2.09	states/eV/f.u.
# energy	-7.951	eV/atom
data_HfVGe
_cell_length_a 8.553
_cell_length_b 8.553
_cell_length_c 8.139
_cell_angle_alpha 90.28
_cell_angle_beta 90.28
_cell_angle_gamma 21.80
_space_group_name_H-M_alt 'P 1'
_space_group_IT_number 1
_space_group_name_Hall 'P 1'
loop_
_atom_site_label
_atom_site_fract_x
_atom_site_fract_y
_atom_site_fract_z
_atom_site_occupancy
Hf1 0.036 0.036 0.327 1
Hf2 0.412 0.412 0.111 1
Hf3 0.588 0.588 0.889 1
Hf4 0.964 0.964 0.673 1
V1 0.233 0.233 0.865 1
V2 0.243 0.243 0.378 1
V3 0.757 0.757 0.622 1
V4 0.767 0.767 0.135 1
Ge1 0.132 0.132 0.609 1
Ge2 0.154 0.154 0.128 1
Ge3 0.846 0.846 0.872 1
Ge4 0.868 0.868 0.391 1